# NbTeRhO6 PBE relaxed
# **Raw total energy**: -6.9021 eV per atom
# **Formation energy without anion corrections**: -1139 kJ/mol of formula units
data_NbTeRhO6
_space_group_name_H-M_alt 'P -3 1 c'
_space_group_IT_number 163
_space_group_name_Hall '-P 3 2c'
_cell_length_a 5.3988
_cell_length_b 5.3988
_cell_length_c 8.6858
_cell_angle_alpha 90.00
_cell_angle_beta 90.00
_cell_angle_gamma 120.00
loop_
_atom_site_label
_atom_site_type_symbol
_atom_site_fract_x
_atom_site_fract_y
_atom_site_fract_z
Nb1 Nb 0.3333 0.6667 0.2500
Te1 Te 0.3333 0.6667 0.7500
Rh1 Rh 0.0000 0.0000 0.0000
O1 O 0.0231 0.3432 0.1250



# TiNbRhO6 PBE relaxed
# **DOS(E_F)**: 2.74 states/eV per cell
# **Raw total energy**: -8.1889 eV per atom
# **Formation energy without anion corrections**: -1798 kJ/mol of formula units
data_TiNbRhO6
_space_group_name_H-M_alt 'P -3 1 c'
_space_group_IT_number 163
_space_group_name_Hall '-P 3 2c'
_cell_length_a 5.1494
_cell_length_b 5.1494
_cell_length_c 8.6802
_cell_angle_alpha 90.00
_cell_angle_beta 90.00
_cell_angle_gamma 120.00
loop_
_atom_site_label
_atom_site_type_symbol
_atom_site_fract_x
_atom_site_fract_y
_atom_site_fract_z
Ti1 Ti 0.3333 0.6667 0.2500
Nb1 Nb 0.3333 0.6667 0.7500
Rh1 Rh 0.0000 0.0000 0.0000
O1 O 0.0056 0.3426 0.1288



# Ti2NbRhO PBE relaxed
# **DOS(E_F)**: 5.04 states/eV per cell
# **Raw total energy**: -8.7656 eV per atom
# **Formation energy without anion corrections**: -546 kJ/mol of formula units
data_Ti2NbRhO
_space_group_name_H-M_alt 'P 4/m m m'
_space_group_IT_number 123
_space_group_name_Hall '-P 4 2'
_cell_length_a 4.065
_cell_length_b 4.065
_cell_length_c 4.276
_cell_angle_alpha 90.00
_cell_angle_beta 90.00
_cell_angle_gamma 90.00
loop_
_atom_site_label
_atom_site_type_symbol
_atom_site_fract_x
_atom_site_fract_y
_atom_site_fract_z
Ti1 Ti 0.000 0.500 0.000
Nb1 Nb 0.000 0.000 0.500
Rh1 Rh 0.500 0.500 0.500
O1 O 0.000 0.000 0.000



# UNbRhO6 PBE relaxed
# **DOS(E_F)**: 11.95 states/eV per cell
# **Raw total energy**: -8.6458 eV per atom
# **Formation energy without anion corrections**: -1867 kJ/mol of formula units
data_UNbRhO6
_space_group_name_H-M_alt 'P -3 1 c'
_space_group_IT_number 163
_space_group_name_Hall '-P 3 2c'
_cell_length_a 5.4673
_cell_length_b 5.4673
_cell_length_c 8.8365
_cell_angle_alpha 90.00
_cell_angle_beta 90.00
_cell_angle_gamma 120.00
loop_
_atom_site_label
_atom_site_type_symbol
_atom_site_fract_x
_atom_site_fract_y
_atom_site_fract_z
U1 U 0.3333 0.6667 0.2500
Nb1 Nb 0.3333 0.6667 0.7500
Rh1 Rh 0.0000 0.0000 0.0000
O1 O 0.0128 0.3483 0.6289



# NbRu3O PBE relaxed
# **Offset from the most stable computed form**: 2.103 eV/atom
# **DOS(E_F)**: 5.68 states/eV per cell
# **Raw total energy**: -6.4303 eV per atom
# **Formation energy without anion corrections**: 1033 kJ/mol of formula units
data_NbRu3O
_space_group_name_H-M_alt 'P m -3 m'
_space_group_IT_number 221
_space_group_name_Hall '-P 4 2 3'
_cell_length_a 4.756
_cell_length_b 4.756
_cell_length_c 4.756
_cell_angle_alpha 90.00
_cell_angle_beta 90.00
_cell_angle_gamma 90.00
loop_
_atom_site_label
_atom_site_type_symbol
_atom_site_fract_x
_atom_site_fract_y
_atom_site_fract_z
Nb1 Nb 0.000 0.000 0.000
Ru1 Ru 0.000 0.000 0.500
O1 O 0.500 0.500 0.500



# NbRuO PBE relaxed
# **DOS(E_F)**: 10.32 states/eV per cell
# **Raw total energy**: -8.6165 eV per atom
# **Formation energy without anion corrections**: -149 kJ/mol of formula units
data_NbRuO
_space_group_name_H-M_alt 'I m m m'
_space_group_IT_number 71
_space_group_name_Hall '-I 2 2'
_cell_length_a 2.853
_cell_length_b 4.479
_cell_length_c 14.420
_cell_angle_alpha 90.00
_cell_angle_beta 90.00
_cell_angle_gamma 90.00
loop_
_atom_site_label
_atom_site_type_symbol
_atom_site_fract_x
_atom_site_fract_y
_atom_site_fract_z
Nb1 Nb 0.000 0.000 0.104
Ru1 Ru 0.000 0.000 0.281
O1 O 0.000 0.267 0.000



# NbRu2O PBE relaxed
# **DOS(E_F)**: 29.71 states/eV per cell
# **Raw total energy**: -8.2432 eV per atom
# **Formation energy without anion corrections**: 59 kJ/mol of formula units
data_NbRu2O
_space_group_name_H-M_alt 'I -4 2 d'
_space_group_IT_number 122
_space_group_name_Hall 'I -4 2bw'
_cell_length_a 5.197
_cell_length_b 5.197
_cell_length_c 9.920
_cell_angle_alpha 90.00
_cell_angle_beta 90.00
_cell_angle_gamma 90.00
loop_
_atom_site_label
_atom_site_type_symbol
_atom_site_fract_x
_atom_site_fract_y
_atom_site_fract_z
Nb1 Nb 0.000 0.000 0.000
Ru1 Ru 0.163 0.250 0.625
O1 O 0.000 0.000 0.500



# NbRu3O PBE relaxed
# **Offset from the most stable computed form**: 0.000 eV/atom
# **DOS(E_F)**: 4.19 states/eV per cell
# **Raw total energy**: -8.5332 eV per atom
# **Formation energy without anion corrections**: 18 kJ/mol of formula units
data_NbRu3O
_space_group_name_H-M_alt 'P m -3 m'
_space_group_IT_number 221
_space_group_name_Hall '-P 4 2 3'
_cell_length_a 4.084
_cell_length_b 4.084
_cell_length_c 4.084
_cell_angle_alpha 90.00
_cell_angle_beta 90.00
_cell_angle_gamma 90.00
loop_
_atom_site_label
_atom_site_type_symbol
_atom_site_fract_x
_atom_site_fract_y
_atom_site_fract_z
Nb1 Nb 0.000 0.000 0.000
Ru1 Ru 0.000 0.500 0.500
O1 O 0.500 0.500 0.500



# Nb3RuO PBE relaxed
# **Offset from the most stable computed form**: 0.000 eV/atom
# **DOS(E_F)**: 5.54 states/eV per cell
# **Raw total energy**: -9.5169 eV per atom
# **Formation energy without anion corrections**: -303 kJ/mol of formula units
data_Nb3RuO
_space_group_name_H-M_alt 'P m -3 m'
_space_group_IT_number 221
_space_group_name_Hall '-P 4 2 3'
_cell_length_a 4.229
_cell_length_b 4.229
_cell_length_c 4.229
_cell_angle_alpha 90.00
_cell_angle_beta 90.00
_cell_angle_gamma 90.00
loop_
_atom_site_label
_atom_site_type_symbol
_atom_site_fract_x
_atom_site_fract_y
_atom_site_fract_z
Nb1 Nb 0.000 0.000 0.500
Ru1 Ru 0.500 0.500 0.500
O1 O 0.000 0.000 0.000



# Nb3RuO PBE relaxed
# **Offset from the most stable computed form**: 2.051 eV/atom
# **DOS(E_F)**: 6.41 states/eV per cell
# **Raw total energy**: -7.4657 eV per atom
# **Formation energy without anion corrections**: 686 kJ/mol of formula units
data_Nb3RuO
_space_group_name_H-M_alt 'P m -3 m'
_space_group_IT_number 221
_space_group_name_Hall '-P 4 2 3'
_cell_length_a 4.791
_cell_length_b 4.791
_cell_length_c 4.791
_cell_angle_alpha 90.00
_cell_angle_beta 90.00
_cell_angle_gamma 90.00
loop_
_atom_site_label
_atom_site_type_symbol
_atom_site_fract_x
_atom_site_fract_y
_atom_site_fract_z
Nb1 Nb 0.000 0.000 0.500
Ru1 Ru 0.000 0.000 0.000
O1 O 0.500 0.500 0.500



# Sr2NbRuO6 PBE relaxed
# **DOS(E_F)**: 4.31 states/eV per cell
# **Raw total energy**: -7.5721 eV per atom
# **Formation energy without anion corrections**: -2245 kJ/mol of formula units
data_Sr2NbRuO6
_space_group_name_H-M_alt 'P 4/m m m'
_space_group_IT_number 123
_space_group_name_Hall '-P 4 2'
_cell_length_a 4.057
_cell_length_b 4.057
_cell_length_c 8.016
_cell_angle_alpha 90.00
_cell_angle_beta 90.00
_cell_angle_gamma 90.00
loop_
_atom_site_label
_atom_site_type_symbol
_atom_site_fract_x
_atom_site_fract_y
_atom_site_fract_z
Sr1 Sr 0.000 0.000 0.226
Nb1 Nb 0.500 0.500 0.500
Ru1 Ru 0.500 0.500 0.000
O1 O 0.000 0.500 0.000
O2 O 0.000 0.500 0.500
O3 O 0.500 0.500 0.253



# SrNbRuO6 PBE relaxed
# **DOS(E_F)**: 6.86 states/eV per cell
# **Raw total energy**: -7.5591 eV per atom
# **Formation energy without anion corrections**: -1665 kJ/mol of formula units
data_SrNbRuO6
_space_group_name_H-M_alt 'P 42 n m'
_space_group_IT_number 102
_cell_length_a 4.988
_cell_length_b 4.988
_cell_length_c 9.741
_cell_angle_alpha 90.00
_cell_angle_beta 90.00
_cell_angle_gamma 90.00
loop_
_space_group_symop_operation_xyz
'x,y,z'
'-y+1/2,x+1/2,z+1/2'
'-x,-y,z'
'y+1/2,-x+1/2,z+1/2'
'-x+1/2,y+1/2,z+1/2'
'y,x,z'
'x+1/2,-y+1/2,z+1/2'
'-y,-x,z'
loop_
_atom_site_label
_atom_site_type_symbol
_atom_site_fract_x
_atom_site_fract_y
_atom_site_fract_z
Sr1 Sr 0.000 0.000 0.000
Nb1 Nb 0.000 0.000 0.336
Ru1 Ru 0.000 0.000 0.672
O1 O 0.166 0.166 0.508
O2 O 0.220 0.220 0.804
O3 O 0.224 0.224 0.202



# SrNb2RuO8 PBE relaxed
# **DOS(E_F)**: 9.08 states/eV per cell
# **Raw total energy**: -8.0625 eV per atom
# **Formation energy without anion corrections**: -2507 kJ/mol of formula units
data_SrNb2RuO8
_space_group_name_H-M_alt 'C 1 2/m 1'
_space_group_IT_number 12
_cell_length_a 8.059
_cell_length_b 6.436
_cell_length_c 6.933
_cell_angle_alpha 90.00
_cell_angle_beta 99.41
_cell_angle_gamma 90.00
loop_
_space_group_symop_operation_xyz
'x,y,z'
'-x,-y,-z'
'-x,y,-z'
'x,-y,z'
'x+1/2,y+1/2,z'
'-x+1/2,-y+1/2,-z'
'-x+1/2,y+1/2,-z'
'x+1/2,-y+1/2,z'
loop_
_atom_site_label
_atom_site_type_symbol
_atom_site_fract_x
_atom_site_fract_y
_atom_site_fract_z
Sr1 Sr 0.000 0.000 0.000
Nb1 Nb 0.069 0.500 0.240
Ru1 Ru 0.000 0.000 0.500
O1 O 0.002 0.222 0.705
O2 O 0.166 0.500 0.010
O3 O 0.244 0.000 0.561



# NbTlRuO2 PBE relaxed
# **DOS(E_F)**: 5.71 states/eV per cell
# **Raw total energy**: -6.2738 eV per atom
# **Formation energy without anion corrections**: 25 kJ/mol of formula units
data_NbTlRuO2
_space_group_name_H-M_alt 'P 4/m m m'
_space_group_IT_number 123
_space_group_name_Hall '-P 4 2'
_cell_length_a 3.956
_cell_length_b 3.956
_cell_length_c 5.191
_cell_angle_alpha 90.00
_cell_angle_beta 90.00
_cell_angle_gamma 90.00
loop_
_atom_site_label
_atom_site_type_symbol
_atom_site_fract_x
_atom_site_fract_y
_atom_site_fract_z
Nb1 Nb 0.000 0.000 0.000
Tl1 Tl 0.500 0.500 0.000
Ru1 Ru 0.000 0.000 0.500
O1 O 0.000 0.500 0.500



# NbTlRuO6 PBE relaxed
# **DOS(E_F)**: 14.68 states/eV per cell
# **Raw total energy**: -7.1437 eV per atom
# **Formation energy without anion corrections**: -1238 kJ/mol of formula units
data_NbTlRuO6
_space_group_name_H-M_alt 'I m m a'
_space_group_IT_number 74
_space_group_name_Hall '-I 2b 2'
_cell_length_a 7.274
_cell_length_b 7.505
_cell_length_c 10.442
_cell_angle_alpha 90.00
_cell_angle_beta 90.00
_cell_angle_gamma 90.00
loop_
_atom_site_label
_atom_site_type_symbol
_atom_site_fract_x
_atom_site_fract_y
_atom_site_fract_z
Nb1 Nb 0.000 0.000 0.000
Tl1 Tl 0.000 0.250 0.413
Ru1 Ru 0.250 0.250 0.750
O1 O 0.000 0.250 0.064
O2 O 0.000 0.250 0.686
O3 O 0.195 0.070 0.874



# NbS3O PBE relaxed
# **Offset from the most stable computed form**: 0.000 eV/atom
# **DOS(E_F)**: 7.15 states/eV per cell
# **Raw total energy**: -5.1595 eV per atom
# **Formation energy without anion corrections**: 156 kJ/mol of formula units
data_NbS3O
_space_group_name_H-M_alt 'P m -3 m'
_space_group_IT_number 221
_space_group_name_Hall '-P 4 2 3'
_cell_length_a 4.773
_cell_length_b 4.773
_cell_length_c 4.773
_cell_angle_alpha 90.00
_cell_angle_beta 90.00
_cell_angle_gamma 90.00
loop_
_atom_site_label
_atom_site_type_symbol
_atom_site_fract_x
_atom_site_fract_y
_atom_site_fract_z
Nb1 Nb 0.000 0.000 0.000
S1 S 0.000 0.000 0.500
O1 O 0.500 0.500 0.500



# Nb7S12O PBE relaxed
# **DOS(E_F)**: 29.56 states/eV per cell
# **Raw total energy**: -7.1687 eV per atom
# **Formation energy without anion corrections**: -1775 kJ/mol of formula units
data_Nb7S12O
_space_group_name_H-M_alt 'R -3'
_space_group_IT_number 148
_space_group_name_Hall '-R 3'
_cell_length_a 12.6512
_cell_length_b 12.6512
_cell_length_c 8.2691
_cell_angle_alpha 90.00
_cell_angle_beta 90.00
_cell_angle_gamma 120.00
loop_
_atom_site_label
_atom_site_type_symbol
_atom_site_fract_x
_atom_site_fract_y
_atom_site_fract_z
Nb1 Nb 0.0000 0.0000 0.0000
Nb2 Nb 0.0487 0.1734 0.3584
S1 S 0.0168 0.5862 0.1651
S2 S 0.0480 0.1782 0.8294
O1 O 0.0000 0.0000 0.5000



# NbS3O PBE relaxed
# **Offset from the most stable computed form**: 0.198 eV/atom
# **DOS(E_F)**: 3.09 states/eV per cell
# **Raw total energy**: -4.9613 eV per atom
# **Formation energy without anion corrections**: 251 kJ/mol of formula units
data_NbS3O
_space_group_name_H-M_alt 'P m -3 m'
_space_group_IT_number 221
_space_group_name_Hall '-P 4 2 3'
_cell_length_a 4.161
_cell_length_b 4.161
_cell_length_c 4.161
_cell_angle_alpha 90.00
_cell_angle_beta 90.00
_cell_angle_gamma 90.00
loop_
_atom_site_label
_atom_site_type_symbol
_atom_site_fract_x
_atom_site_fract_y
_atom_site_fract_z
Nb1 Nb 0.000 0.000 0.000
S1 S 0.000 0.500 0.500
O1 O 0.500 0.500 0.500



# NbSO3 PBE relaxed
# **DOS(E_F)**: 0.39 states/eV per cell
# **Raw total energy**: -6.8974 eV per atom
# **Formation energy without anion corrections**: -522 kJ/mol of formula units
data_NbSO3
_space_group_name_H-M_alt 'P m -3 m'
_space_group_IT_number 221
_space_group_name_Hall '-P 4 2 3'
_cell_length_a 4.016
_cell_length_b 4.016
_cell_length_c 4.016
_cell_angle_alpha 90.00
_cell_angle_beta 90.00
_cell_angle_gamma 90.00
loop_
_atom_site_label
_atom_site_type_symbol
_atom_site_fract_x
_atom_site_fract_y
_atom_site_fract_z
Nb1 Nb 0.000 0.000 0.000
S1 S 0.500 0.500 0.500
O1 O 0.000 0.000 0.500



# NbSO3 PBE relaxed
# **DOS(E_F)**: 3.62 states/eV per cell
# **Raw total energy**: -5.7627 eV per atom
# **Formation energy without anion corrections**: 25 kJ/mol of formula units
data_NbSO3
_space_group_name_H-M_alt 'P m -3 m'
_space_group_IT_number 221
_space_group_name_Hall '-P 4 2 3'
_cell_length_a 3.798
_cell_length_b 3.798
_cell_length_c 3.798
_cell_angle_alpha 90.00
_cell_angle_beta 90.00
_cell_angle_gamma 90.00
loop_
_atom_site_label
_atom_site_type_symbol
_atom_site_fract_x
_atom_site_fract_y
_atom_site_fract_z
Nb1 Nb 0.000 0.000 0.000
S1 S 0.500 0.500 0.500
O1 O 0.000 0.500 0.500